Crystalline HfMgSiNi at its relaxed geometry. Source: the Open Quantum Materials Database, functional PBE.

Summary:
Calculated volume, A^3/atom: 15.4
Energy above the most stable polymorph in this dataset, meV/atom: 40
Raw total energy, eV/atom: -5.617

Geometry as extended XYZ:
```
4
Lattice="0.000 3.137 3.137 3.137 0.000 3.137 3.137 3.137 0.000" Properties=species:S:1:pos:R:3 pbc="T T T"
Hf 0.000 0.000 0.000
Mg 1.568 1.568 1.568
Si 3.137 3.137 3.137
Ni 4.705 4.705 4.705
```



Crystalline SrHfMgNi at its relaxed geometry. Source: the Open Quantum Materials Database, functional PBE.

Summary:
Calculated volume, A^3/atom: 22.5
Energy above the most stable polymorph in this dataset, meV/atom: 0
Raw total energy, eV/atom: -4.339

Geometry as extended XYZ:
```
4
Lattice="0.000 3.559 3.559 3.559 0.000 3.559 3.559 3.559 0.000" Properties=species:S:1:pos:R:3 pbc="T T T"
Sr 0.000 0.000 0.000
Hf 3.559 3.559 3.559
Mg 1.780 1.780 1.780
Ni 5.339 5.339 5.339
```



Crystalline SrHfMgNi at its relaxed geometry. Source: the Open Quantum Materials Database, functional PBE.

Summary:
Calculated volume, A^3/atom: 20.7
Energy above the most stable polymorph in this dataset, meV/atom: 96
Raw total energy, eV/atom: -4.243

Geometry as extended XYZ:
```
4
Lattice="0.000 3.462 3.462 3.462 0.000 3.462 3.462 3.462 0.000" Properties=species:S:1:pos:R:3 pbc="T T T"
Sr 0.000 0.000 0.000
Hf 5.192 5.192 5.192
Mg 1.731 1.731 1.731
Ni 3.462 3.462 3.462
```



Crystalline HfMgTlNi at its relaxed geometry. Source: the Open Quantum Materials Database, functional PBE.

Summary:
Calculated volume, A^3/atom: 18.0
Energy above the most stable polymorph in this dataset, meV/atom: 0
Raw total energy, eV/atom: -4.756

Geometry as extended XYZ:
```
4
Lattice="0.000 3.301 3.301 3.301 0.000 3.301 3.301 3.301 0.000" Properties=species:S:1:pos:R:3 pbc="T T T"
Hf 0.000 0.000 0.000
Mg 1.650 1.650 1.650
Tl 3.301 3.301 3.301
Ni 4.951 4.951 4.951
```



Crystalline HfMgTlNi at its relaxed geometry. Source: the Open Quantum Materials Database, functional PBE.

Summary:
Calculated volume, A^3/atom: 18.8
Energy above the most stable polymorph in this dataset, meV/atom: 145
Raw total energy, eV/atom: -4.611

Geometry as extended XYZ:
```
4
Lattice="0.000 3.351 3.351 3.351 0.000 3.351 3.351 3.351 0.000" Properties=species:S:1:pos:R:3 pbc="T T T"
Hf 0.000 0.000 0.000
Mg 5.026 5.026 5.026
Tl 1.675 1.675 1.675
Ni 3.351 3.351 3.351
```



Crystalline HfMgZnNi at its relaxed geometry. Source: the Open Quantum Materials Database, functional PBE.

Summary:
Calculated volume, A^3/atom: 15.6
Energy above the most stable polymorph in this dataset, meV/atom: 141
Raw total energy, eV/atom: -4.708

Geometry as extended XYZ:
```
4
Lattice="0.000 3.145 3.145 3.145 0.000 3.145 3.145 3.145 0.000" Properties=species:S:1:pos:R:3 pbc="T T T"
Hf 0.000 0.000 0.000
Mg 1.573 1.573 1.573
Zn 3.145 3.145 3.145
Ni 4.718 4.718 4.718
```



Crystalline HfMgZnNi at its relaxed geometry. Source: the Open Quantum Materials Database, functional PBE.

Summary:
Calculated volume, A^3/atom: 15.8
Energy above the most stable polymorph in this dataset, meV/atom: 288
Raw total energy, eV/atom: -4.561

Geometry as extended XYZ:
```
4
Lattice="0.000 3.161 3.161 3.161 0.000 3.161 3.161 3.161 0.000" Properties=species:S:1:pos:R:3 pbc="T T T"
Hf 0.000 0.000 0.000
Mg 4.741 4.741 4.741
Zn 1.580 1.580 1.580
Ni 3.161 3.161 3.161
```



Crystalline HfMgZnNi at its relaxed geometry. Source: the Open Quantum Materials Database, functional PBE.

Summary:
Calculated volume, A^3/atom: 16.1
Energy above the most stable polymorph in this dataset, meV/atom: 0
Raw total energy, eV/atom: -4.849

Geometry as extended XYZ:
```
4
Lattice="0.000 3.181 3.181 3.181 0.000 3.181 3.181 3.181 0.000" Properties=species:S:1:pos:R:3 pbc="T T T"
Hf 0.000 0.000 0.000
Mg 3.181 3.181 3.181
Zn 1.590 1.590 1.590
Ni 4.771 4.771 4.771
```